Entry 1:
First-principles (meta-GGA SCAN) data for La2ScPb at its PBEsol-relaxed geometry, as listed in the Alexandria database.

Cell: 5.983 5.983 5.983 Å, 133.06 132.86 68.72°
Atoms (fractional coordinates):
La 0.000 0.000 0.000
La 0.750 0.250 0.500
Sc 0.499 0.499 0.000
Pb 0.250 0.750 0.500

## Properties
SG = No. 44
volume = 113 Å³/f.u.
energy of formation = -165 kJ/mol of formula units

Entry 2:
First-principles (meta-GGA SCAN) data for La2ScPb at its PBEsol-relaxed geometry, as listed in the Alexandria database.

Cell: 3.582 5.384 5.911 Å, 90.00 90.00 90.00°
Atoms (fractional coordinates):
La 0.000 0.000 0.000
La 0.000 0.500 0.327
Sc 0.500 0.500 0.810
Pb 0.500 0.000 0.518

## Properties
SG = No. 25
volume = 114 Å³/f.u.
energy of formation = -161 kJ/mol of formula units

Entry 3:
First-principles (meta-GGA SCAN) data for La2ScPb at its PBEsol-relaxed geometry, as listed in the Alexandria database.

Cell: 5.936 5.936 3.489 Å, 90.00 90.00 111.86°
Atoms (fractional coordinates):
La 0.000 0.500 0.000
La 0.500 0.000 0.000
Sc 0.000 0.000 0.500
Pb 0.500 0.500 0.500

## Properties
SG = No. 65
volume = 114 Å³/f.u.
energy of formation = -152 kJ/mol of formula units

Entry 4:
First-principles (meta-GGA SCAN) data for La2ScPb at its PBEsol-relaxed geometry, as listed in the Alexandria database.

Cell: 4.749 4.749 4.972 Å, 90.00 90.00 90.00°
Atoms (fractional coordinates):
La 0.000 0.500 0.000
La 0.500 0.000 0.000
Sc 0.000 0.000 0.500
Pb 0.500 0.500 0.500

## Properties
SG = No. 123
volume = 112 Å³/f.u.
energy of formation = -178 kJ/mol of formula units

Entry 5:
First-principles (meta-GGA SCAN) data for LaSc2Pb at its PBEsol-relaxed geometry, as listed in the Alexandria database.

Cell: 3.312 3.312 10.641 Å, 90.00 90.00 115.08°
Atoms (fractional coordinates):
La 0.000 0.000 0.000
Sc 0.500 0.500 0.268
Sc 0.500 0.500 0.732
Pb 0.000 0.000 0.500

## Properties
SG = No. 65
volume = 106 Å³/f.u.
energy of formation = -41 kJ/mol of formula units

Entry 6:
First-principles (meta-GGA SCAN) data for La2PbSe4 at its PBEsol-relaxed geometry, as listed in the Alexandria database.

Cell: 7.798 7.798 7.798 Å, 109.39 109.39 109.63°
Atoms (fractional coordinates):
La 0.009 0.125 0.384
La 0.375 0.991 0.116
La 0.741 0.625 0.616
La 0.875 0.259 0.884
Pb 0.250 0.750 0.500
Pb 0.500 0.500 0.000
Se 0.117 0.522 0.748
Se 0.119 0.025 0.752
Se 0.272 0.367 0.248
Se 0.478 0.225 0.595
Se 0.631 0.883 0.405
Se 0.633 0.881 0.905
Se 0.775 0.369 0.252
Se 0.975 0.728 0.095

## Properties
SG = No. 122
volume = 183 Å³/f.u.
energy relative to the elements, uncorrected = -1.79 eV/atom

Entry 7:
First-principles (meta-GGA SCAN) data for La2PbSe at its PBEsol-relaxed geometry, as listed in the Alexandria database.

Cell: 4.851 6.328 6.328 Å, 37.90 90.00 90.00°
Atoms (fractional coordinates):
La 0.000 0.000 0.000
La 0.500 0.251 0.251
Pb 0.000 0.737 0.737
Se 0.500 0.503 0.503

## Properties
energy above the lowest structure with this stoichiometry = 173 meV per atom
SG = No. 38
volume = 119 Å³/f.u.
energy relative to the elements, uncorrected = -1.41 eV/atom

Entry 8:
First-principles (meta-GGA SCAN) data for La2PbSe at its PBEsol-relaxed geometry, as listed in the Alexandria database.

Cell: 4.452 4.452 6.296 Å, 90.00 90.00 90.00°
Atoms (fractional coordinates):
La 0.000 0.000 0.000
La 0.500 0.500 0.500
Pb 0.000 0.000 0.500
Se 0.500 0.500 0.000

## Properties
energy above the lowest structure with this stoichiometry = 0 meV per atom
SG = No. 123
volume = 125 Å³/f.u.
energy relative to the elements, uncorrected = -1.58 eV/atom

Entry 9:
First-principles (meta-GGA SCAN) data for La2PbSe at its PBEsol-relaxed geometry, as listed in the Alexandria database.

Cell: 7.684 7.684 7.684 Å, 33.64 33.64 33.64°
Atoms (fractional coordinates):
La 0.245 0.245 0.245
La 0.755 0.755 0.755
Pb 0.000 0.000 0.000
Se 0.500 0.500 0.500

## Properties
energy above the lowest structure with this stoichiometry = 27 meV per atom
SG = No. 166
volume = 124 Å³/f.u.
energy relative to the elements, uncorrected = -1.56 eV/atom

Entry 10:
First-principles (meta-GGA SCAN) data for LaPb2Se at its PBEsol-relaxed geometry, as listed in the Alexandria database.

Cell: 4.487 4.487 8.140 Å, 104.93 104.93 55.54°
Atoms (fractional coordinates):
La 0.000 0.000 0.000
Pb 0.519 0.519 0.505
Pb 0.766 0.766 0.278
Se 0.265 0.265 0.813

## Properties
SG = No. 8
volume = 129 Å³/f.u.
energy relative to the elements, uncorrected = -0.88 eV/atom

Entry 11:
First-principles (meta-GGA SCAN) data for La2PbSe at its PBEsol-relaxed geometry, as listed in the Alexandria database.

Cell: 5.346 5.346 5.346 Å, 60.00 60.00 60.00°
Atoms (fractional coordinates):
La 0.000 0.000 0.000
La 0.250 0.250 0.250
Pb 0.750 0.750 0.750
Se 0.500 0.500 0.500

## Properties
energy above the lowest structure with this stoichiometry = 1037 meV per atom
SG = No. 216
volume = 108 Å³/f.u.
energy relative to the elements, uncorrected = -0.55 eV/atom

Entry 12:
First-principles (meta-GGA SCAN) data for La5Pb3Se at its PBEsol-relaxed geometry, as listed in the Alexandria database.

Cell: 9.614 9.614 7.010 Å, 90.00 90.00 120.00°
Atoms (fractional coordinates):
La 0.000 0.250 0.250
La 0.000 0.750 0.750
La 0.250 0.000 0.250
La 0.250 0.250 0.750
La 0.333 0.667 0.000
La 0.333 0.667 0.500
La 0.667 0.333 0.000
La 0.667 0.333 0.500
La 0.750 0.000 0.750
La 0.750 0.750 0.250
Pb 0.000 0.393 0.750
Pb 0.000 0.607 0.250
Pb 0.393 0.000 0.750
Pb 0.393 0.393 0.250
Pb 0.607 0.000 0.250
Pb 0.607 0.607 0.750
Se 0.000 0.000 0.000
Se 0.000 0.000 0.500

## Properties
SG = No. 193
volume = 281 Å³/f.u.
energy relative to the elements, uncorrected = -1.24 eV/atom

Entry 13:
First-principles (meta-GGA SCAN) data for LaPb2Se at its PBEsol-relaxed geometry, as listed in the Alexandria database.

Cell: 6.411 6.411 6.411 Å, 145.73 130.09 61.94°
Atoms (fractional coordinates):
La 0.000 0.000 0.000
Pb 0.457 0.457 0.000
Pb 0.724 0.224 0.500
Se 0.209 0.709 0.500

## Properties
SG = No. 44
volume = 112 Å³/f.u.
energy relative to the elements, uncorrected = -0.69 eV/atom

Entry 14:
First-principles (meta-GGA SCAN) data for LaPb2Se at its PBEsol-relaxed geometry, as listed in the Alexandria database.

Cell: 4.339 4.339 5.842 Å, 90.00 90.00 90.00°
Atoms (fractional coordinates):
La 0.000 0.000 0.000
Pb 0.000 0.500 0.500
Pb 0.500 0.000 0.500
Se 0.500 0.500 0.000

## Properties
SG = No. 123
volume = 110 Å³/f.u.
energy relative to the elements, uncorrected = -0.86 eV/atom